Entry 1:
The following is a DFT calculation (meta-GGA SCAN) of a crystal of RuPt3 relaxed with PBEsol. Values from VASP.

Energy of formation   0.0965 eV per atom
D(E_F)   1.47 states/eV per atom

```
&SYSTEM
  ibrav = 0, nat = 4, ntyp = 2
/
ATOMIC_SPECIES
Ru 101.07 Ru.upf
Pt 195.08 Pt.upf
ATOMIC_POSITIONS crystal
Ru 0.000 0.000 0.500
Pt 0.333 0.667 0.260
Pt 0.333 0.667 0.740
Pt 0.000 0.000 0.000
CELL_PARAMETERS angstrom
2.731 0.000 0.000
-1.366 2.365 0.000
0.000 0.000 9.058
```


Entry 2:
The following is a DFT calculation (meta-GGA SCAN) of a crystal of Ru3Pt relaxed with PBEsol. Values from VASP.

Energy of formation   0.0373 eV per atom
D(E_F)   0.94 states/eV per atom

```
&SYSTEM
  ibrav = 0, nat = 4, ntyp = 2
/
ATOMIC_SPECIES
Ru 101.07 Ru.upf
Pt 195.08 Pt.upf
ATOMIC_POSITIONS crystal
Ru 0.000 0.000 0.500
Ru 0.500 0.500 0.261
Ru 0.500 0.500 0.739
Pt 0.000 0.000 0.000
CELL_PARAMETERS angstrom
2.677 0.000 0.000
0.000 3.803 0.000
0.000 0.000 5.383
```


Entry 3:
The following is a DFT calculation (meta-GGA SCAN) of a crystal of Ru3Pt relaxed with PBEsol. Values from VASP.

Energy of formation   0.0428 eV per atom
D(E_F)   0.91 states/eV per atom

```
&SYSTEM
  ibrav = 0, nat = 4, ntyp = 2
/
ATOMIC_SPECIES
Ru 101.07 Ru.upf
Pt 195.08 Pt.upf
ATOMIC_POSITIONS crystal
Ru 0.000 0.000 0.500
Ru 0.500 0.500 0.259
Ru 0.500 0.500 0.741
Pt 0.000 0.000 0.000
CELL_PARAMETERS angstrom
-2.197 1.379 -0.660
0.337 -0.690 -2.564
-4.265 -6.256 1.124
```